[1]
A relaxed structure of Li2Tb2O5. Source: the Open Quantum Materials Database, functional PBE.

Cell lengths 3.6795, 3.6795, 6.9159 Å; angles 90.00, 90.00, 90.00 degrees
Last column: nearest neighbours and their distance in Å.
Positions (direct):
Li (0.0000, 0.0000, 0.2429)  5 O 1.78-1.85
Li (0.0000, 0.0000, 0.7571)  5 O 1.78-1.85
Tb (0.5000, 0.5000, 0.0000)  8 O 2.35
Tb (0.5000, 0.5000, 0.5000)  12 O 2.60-2.71
O (0.0000, 0.0000, 0.5000)  2 Li 1.78
O (0.0000, 0.5000, 0.2119)  2 Li 1.85
O (0.0000, 0.5000, 0.7881)  2 Li 1.85
O (0.5000, 0.0000, 0.2119)  2 Li 1.85
O (0.5000, 0.0000, 0.7881)  2 Li 1.85

Calculated values
- ΔE to the lowest computed polymorph (eV per atom) = 0.000
- volume (Å³ per atom) = 10.4

***

[2]
A relaxed structure of AgGePt2. Source: the Open Quantum Materials Database, functional PBE.

Cell lengths 4.5344, 4.5344, 4.5344 Å; angles 60.00, 60.00, 60.00 degrees
Last column: nearest neighbours and their distance in Å.
Positions (direct):
Ag (0.0000, 0.0000, 0.0000)  4 Ge 2.78, 4 Pt 2.78
Ge (0.7500, 0.7500, 0.7500)  4 Pt 2.78, 4 Ag 2.78
Pt (0.2500, 0.2500, 0.2500)  4 Pt 2.78, 4 Ag 2.78
Pt (0.5000, 0.5000, 0.5000)  4 Ge 2.78, 4 Pt 2.78

Calculated values
- volume (Å³ per atom) = 16.5

***

[3]
A relaxed structure of Ta3Co10. Source: the Open Quantum Materials Database, functional PBE.

Cell lengths 8.9573, 8.9573, 8.9573 Å; angles 30.50, 30.50, 30.50 degrees
Last column: nearest neighbours and their distance in Å.
Positions (direct):
Ta (0.0000, 0.0000, 0.0000)  12 Co 2.45-2.74
Ta (0.4478, 0.4478, 0.4478)  7 Co 2.53-2.58, 1 Ta 2.67
Ta (0.5522, 0.5522, 0.5522)  7 Co 2.53-2.58, 1 Ta 2.67
Co (0.0931, 0.0931, 0.5778)  4 Co 2.28-2.43, 3 Ta 2.45-2.53
Co (0.0931, 0.5778, 0.0931)  4 Co 2.28-2.43, 3 Ta 2.45-2.53
Co (0.1636, 0.1636, 0.1636)  9 Co 2.59-2.73
Co (0.3470, 0.3470, 0.3470)  4 Ta 2.58-2.74, 12 Co 2.71-2.89
Co (0.4222, 0.9069, 0.9069)  4 Co 2.28-2.43, 3 Ta 2.45-2.53
Co (0.5778, 0.0931, 0.0931)  4 Co 2.28-2.43, 3 Ta 2.45-2.53
Co (0.6530, 0.6530, 0.6530)  4 Ta 2.58-2.74, 12 Co 2.71-2.89
Co (0.8364, 0.8364, 0.8364)  9 Co 2.59-2.73
Co (0.9069, 0.4222, 0.9069)  4 Co 2.28-2.43, 3 Ta 2.45-2.53
Co (0.9069, 0.9069, 0.4222)  4 Co 2.28-2.43, 3 Ta 2.45-2.53

Calculated values
- ΔE to the lowest computed polymorph (eV per atom) = 0.002
- volume (Å³ per atom) = 12.6
- energy of formation from the pure elements (eV per atom) = 0.052

***

[4]
A relaxed structure of Np2P2H. Source: the Open Quantum Materials Database, functional PBE.

Cell lengths 6.8474, 6.8474, 6.8474 Å; angles 131.70, 70.17, 132.38 degrees
Last column: nearest neighbours and their distance in Å.
Positions (direct):
Np (0.1149, 0.2249, 0.3399)  2 H 2.27
Np (0.3851, 0.7249, 0.1100)  2 H 2.27
Np (0.6149, 0.2751, 0.8900)  2 H 2.27
Np (0.8851, 0.7751, 0.6601)  2 H 2.27
P (0.1398, 0.7135, 0.8534)  2 H 2.63, 6 Np 2.75-2.88
P (0.3602, 0.2135, 0.5737)  2 H 2.63, 6 Np 2.75-2.88
P (0.6398, 0.7865, 0.4263)  2 H 2.63, 6 Np 2.75-2.88
P (0.8602, 0.2865, 0.1466)  2 H 2.63, 6 Np 2.75-2.88
H (0.2500, 0.2500, 0.0000)  4 Np 2.27
H (0.7500, 0.7500, 0.0000)  4 Np 2.27

Calculated values
- volume (Å³ per atom) = 17.4

***

[5]
A relaxed structure of Li2ZnCdIn2Ni2. Source: the Open Quantum Materials Database, functional PBE.

Cell lengths 4.4246, 4.4246, 6.2618 Å; angles 90.00, 90.00, 90.00 degrees
Last column: nearest neighbours and their distance in Å.
Positions (direct):
Li (0.0000, 0.5000, 0.2415)  4 In 2.68-2.74, 2 Zn 2.68, 2 Cd 2.74, 1 Ni 2.98
Li (0.5000, 0.0000, 0.7585)  4 In 2.68-2.74, 2 Zn 2.68, 2 Cd 2.74, 1 Ni 2.98
Zn (0.5000, 0.5000, 0.0000)  4 Ni 2.66, 4 Li 2.68
Cd (0.0000, 0.0000, 0.5000)  4 Li 2.74, 4 Ni 2.76
In (0.0000, 0.0000, 0.0000)  4 Ni 2.66, 4 Li 2.68
In (0.5000, 0.5000, 0.5000)  4 Li 2.74, 4 Ni 2.76
Ni (0.0000, 0.5000, 0.7648)  4 In 2.66-2.76, 2 Zn 2.66, 2 Cd 2.76
Ni (0.5000, 0.0000, 0.2352)  4 In 2.66-2.76, 2 Zn 2.66, 2 Cd 2.76

Calculated values
- volume (Å³ per atom) = 15.3

***

[6]
A relaxed structure of Zr4Nb2Sn3C3. Source: the Open Quantum Materials Database, functional PBE.

Cell lengths 5.7401, 5.7401, 14.9630 Å; angles 101.11, 101.11, 60.01 degrees
Last column: nearest neighbours and their distance in Å.
Positions (direct):
Zr (0.0327, 0.1929, 0.0882)  3 C 2.31-2.32
Zr (0.1340, 0.3039, 0.4118)  3 C 2.31-2.32
Zr (0.1929, 0.0327, 0.5882)  3 C 2.31-2.32
Zr (0.3039, 0.1340, 0.9118)  3 C 2.31-2.32
Zr (0.6961, 0.8660, 0.0882)  3 C 2.31-2.32
Zr (0.8071, 0.9673, 0.4118)  3 C 2.31-2.32
Zr (0.8660, 0.6961, 0.5882)  3 C 2.31-2.32
Zr (0.9673, 0.8071, 0.9118)  3 C 2.31-2.32
Nb (0.3561, 0.5270, 0.0809)  3 C 2.23
Nb (0.4730, 0.6439, 0.4191)  3 C 2.23
Nb (0.5270, 0.3561, 0.5809)  3 C 2.23
Nb (0.6439, 0.4730, 0.9191)  3 C 2.23
Sn (0.1008, 0.8992, 0.2500)  2 Nb 3.05, 4 Zr 3.06-3.07, 6 Sn 3.15-3.40
Sn (0.2659, 0.4170, 0.7508)  4 Zr 3.07, 2 Nb 3.07, 6 Sn 3.15-3.40
Sn (0.4170, 0.2659, 0.2508)  4 Zr 3.07, 2 Nb 3.07, 6 Sn 3.15-3.40
Sn (0.5830, 0.7341, 0.7492)  4 Zr 3.07, 2 Nb 3.07, 6 Sn 3.15-3.40
Sn (0.7341, 0.5830, 0.2492)  4 Zr 3.07, 2 Nb 3.07, 6 Sn 3.15-3.40
Sn (0.8992, 0.1008, 0.7500)  2 Nb 3.05, 4 Zr 3.06-3.07, 6 Sn 3.15-3.40
C (0.0000, 0.5000, 0.0000)  2 Nb 2.23, 4 Zr 2.31
C (0.1743, 0.6629, 0.5000)  2 Nb 2.23, 4 Zr 2.31-2.32
C (0.3371, 0.8257, 0.0000)  2 Nb 2.23, 4 Zr 2.31-2.32
C (0.5000, 0.0000, 0.5000)  2 Nb 2.23, 4 Zr 2.31
C (0.6629, 0.1743, 0.0000)  2 Nb 2.23, 4 Zr 2.31-2.32
C (0.8257, 0.3371, 0.5000)  2 Nb 2.23, 4 Zr 2.31-2.32

Calculated values
- volume (Å³ per atom) = 17.3

***

[7]
A relaxed structure of In10FeS10. Source: the Open Quantum Materials Database, functional PBE.

Cell lengths 11.5647, 12.1172, 7.5176 Å; angles 90.00, 90.00, 90.00 degrees
Last column: nearest neighbours and their distance in Å.
Positions (direct):
In (0.0000, 0.0000, 0.2429)  4 S 2.68-2.93
In (0.0000, 0.0000, 0.7571)  4 S 2.68-2.93
In (0.1237, 0.4095, 0.2491)  3 S 2.57-2.65, 1 Fe 2.61
In (0.1237, 0.4095, 0.7509)  3 S 2.57-2.65, 1 Fe 2.61
In (0.1435, 0.7197, 0.0000)  4 S 2.44-2.51
In (0.1648, 0.6507, 0.5000)  3 S 2.63-2.66, 1 Fe 2.64
In (0.3352, 0.1507, 0.5000)  3 S 2.63-2.66, 1 Fe 2.64
In (0.3565, 0.2197, 0.0000)  4 S 2.44-2.51
In (0.3763, 0.9095, 0.2491)  3 S 2.57-2.65, 1 Fe 2.61
In (0.3763, 0.9095, 0.7509)  3 S 2.57-2.65, 1 Fe 2.61
In (0.5000, 0.5000, 0.2429)  4 S 2.68-2.93
In (0.5000, 0.5000, 0.7571)  4 S 2.68-2.93
In (0.6237, 0.0905, 0.2491)  3 S 2.57-2.65, 1 Fe 2.61
In (0.6237, 0.0905, 0.7509)  3 S 2.57-2.65, 1 Fe 2.61
In (0.6435, 0.7803, 0.0000)  4 S 2.44-2.51
In (0.6648, 0.8493, 0.5000)  3 S 2.63-2.66, 1 Fe 2.64
In (0.8352, 0.3493, 0.5000)  3 S 2.63-2.66, 1 Fe 2.64
In (0.8565, 0.2803, 0.0000)  4 S 2.44-2.51
In (0.8763, 0.5905, 0.2491)  3 S 2.57-2.65, 1 Fe 2.61
In (0.8763, 0.5905, 0.7509)  3 S 2.57-2.65, 1 Fe 2.61
Fe (0.0000, 0.5000, 0.5000)  6 In 2.61-2.64
Fe (0.5000, 0.0000, 0.5000)  6 In 2.61-2.64
S (0.0730, 0.2720, 0.0000)  3 In 2.51-2.57
S (0.1114, 0.1101, 0.5000)  3 In 2.63-2.68
S (0.1704, 0.8226, 0.2804)  3 In 2.47-2.66
S (0.1704, 0.8226, 0.7196)  3 In 2.47-2.66
S (0.2219, 0.5327, 0.0000)  3 In 2.44-2.65
S (0.2781, 0.0327, 0.0000)  3 In 2.44-2.65
S (0.3296, 0.3226, 0.2804)  3 In 2.47-2.66
S (0.3296, 0.3226, 0.7196)  3 In 2.47-2.66
S (0.3886, 0.6101, 0.5000)  3 In 2.63-2.68
S (0.4270, 0.7720, 0.0000)  3 In 2.51-2.57
S (0.5730, 0.2280, 0.0000)  3 In 2.51-2.57
S (0.6114, 0.3899, 0.5000)  3 In 2.63-2.68
S (0.6704, 0.6774, 0.2804)  3 In 2.47-2.66
S (0.6704, 0.6774, 0.7196)  3 In 2.47-2.66
S (0.7219, 0.9673, 0.0000)  3 In 2.44-2.65
S (0.7781, 0.4673, 0.0000)  3 In 2.44-2.65
S (0.8296, 0.1774, 0.2804)  3 In 2.47-2.66
S (0.8296, 0.1774, 0.7196)  3 In 2.47-2.66
S (0.8886, 0.8899, 0.5000)  3 In 2.63-2.68
S (0.9270, 0.7280, 0.0000)  3 In 2.51-2.57

Calculated values
- volume (Å³ per atom) = 25.1

***

[8]
A relaxed structure of TaCoBIr. Source: the Open Quantum Materials Database, functional PBE.

Cell lengths 4.1833, 4.1833, 4.1833 Å; angles 60.00, 60.00, 60.00 degrees
Last column: nearest neighbours and their distance in Å.
Positions (direct):
Ta (0.0000, 0.0000, 0.0000)  4 Co 2.56, 4 Ir 2.56
Co (0.7500, 0.7500, 0.7500)  4 Ta 2.56, 4 B 2.56
B (0.5000, 0.5000, 0.5000)  4 Co 2.56, 4 Ir 2.56
Ir (0.2500, 0.2500, 0.2500)  4 Ta 2.56, 4 B 2.56

Calculated values
- ΔE to the lowest computed polymorph (eV per atom) = 0.000
- volume (Å³ per atom) = 12.9

***

[9]
A relaxed structure of LiNdMgHg. Source: the Open Quantum Materials Database, functional PBE.

Cell lengths 5.0811, 5.0811, 5.0811 Å; angles 60.00, 60.00, 60.00 degrees
Last column: nearest neighbours and their distance in Å.
Positions (direct):
Li (0.0000, 0.0000, 0.0000)  4 Mg 3.11, 4 Nd 3.11
Nd (0.2500, 0.2500, 0.2500)  4 Hg 3.11, 4 Li 3.11
Mg (0.7500, 0.7500, 0.7500)  4 Hg 3.11, 4 Li 3.11
Hg (0.5000, 0.5000, 0.5000)  4 Nd 3.11, 4 Mg 3.11

Calculated values
- volume (Å³ per atom) = 23.2

***

[10]
A relaxed structure of Pa2Te2C. Source: the Open Quantum Materials Database, functional PBE.

Cell lengths 6.9528, 6.9528, 11.4752 Å; angles 123.07, 123.07, 32.83 degrees
Last column: nearest neighbours and their distance in Å.
Positions (direct):
Pa (0.0258, 0.0258, 0.1702)  1 C 2.26
Pa (0.1795, 0.1795, 0.5691)  3 C 2.33-2.36
Pa (0.8205, 0.8205, 0.4309)  3 C 2.33-2.36
Pa (0.9742, 0.9742, 0.8298)  1 C 2.26
Te (0.3350, 0.3350, 0.9119)  5 Pa 3.19-3.25
Te (0.4611, 0.4611, 0.3301)  6 Pa 3.13-3.34, 1 Te 3.42
Te (0.5389, 0.5389, 0.6699)  6 Pa 3.13-3.34, 1 Te 3.42
Te (0.6650, 0.6650, 0.0881)  5 Pa 3.19-3.25
C (0.2060, 0.2060, 0.3850)  4 Pa 2.26-2.36
C (0.7940, 0.7940, 0.6150)  4 Pa 2.26-2.36

Calculated values
- volume (Å³ per atom) = 24.7

***

[11]
A relaxed structure of SrSmTh. Source: the Open Quantum Materials Database, functional PBE.

Cell lengths 5.6891, 5.6891, 5.6891 Å; angles 60.00, 60.00, 60.00 degrees
Last column: nearest neighbours and their distance in Å.
Positions (direct):
Sr (0.0000, 0.0000, 0.0000)  4 Sm 3.48
Sm (0.2500, 0.2500, 0.2500)  4 Th 3.48, 4 Sr 3.48
Th (0.5000, 0.5000, 0.5000)  4 Sm 3.48

Calculated values
- volume (Å³ per atom) = 43.4

***

[12]
A relaxed structure of Li3TaO4. Source: the Open Quantum Materials Database, functional PBE.

Cell lengths 5.1277, 6.0020, 5.1382 Å; angles 90.00, 109.36, 90.00 degrees
Last column: nearest neighbours and their distance in Å.
Positions (direct):
Li (0.0000, 0.0929, 0.2500)  4 O 2.07
Li (0.0000, 0.3647, 0.7500)  6 O 2.08-2.21
Li (0.0000, 0.6353, 0.2500)  6 O 2.08-2.21
Li (0.0000, 0.9071, 0.7500)  4 O 2.07
Li (0.5000, 0.1253, 0.7500)  6 O 2.11-2.14
Li (0.5000, 0.8747, 0.2500)  6 O 2.11-2.14
Ta (0.5000, 0.3443, 0.2500)  4 O 1.90-2.00
Ta (0.5000, 0.6557, 0.7500)  4 O 1.90-2.00
O (0.2559, 0.1347, 0.0161)  1 Ta 1.90, 4 Li 2.07-2.11
O (0.2559, 0.8653, 0.5161)  1 Ta 1.90, 4 Li 2.07-2.11
O (0.2731, 0.3900, 0.4971)  2 Ta 2.00-2.14, 3 Li 2.14-2.21
O (0.2731, 0.6100, 0.9971)  2 Ta 2.00-2.14, 3 Li 2.14-2.21
O (0.7269, 0.3900, 0.0029)  2 Ta 2.00-2.14, 3 Li 2.14-2.21
O (0.7269, 0.6100, 0.5029)  2 Ta 2.00-2.14, 3 Li 2.14-2.21
O (0.7441, 0.1347, 0.4839)  1 Ta 1.90, 4 Li 2.07-2.11
O (0.7441, 0.8653, 0.9839)  1 Ta 1.90, 4 Li 2.07-2.11

Calculated values
- ΔE to the lowest computed polymorph (eV per atom) = 0.001
- volume (Å³ per atom) = 9.3

***

| no. | total energy (eV/atom) |
| --- | --- |
| 1 | -6.44 |
| 2 | -4.88 |
| 3 | -8.15 |
| 4 | -8.74 |
| 5 | -3.05 |
| 6 | -8.50 |
| 7 | -4.03 |
| 8 | -8.47 |
| 9 | -2.46 |
| 10 | -7.66 |
| 11 | -3.65 |
| 12 | -7.17 |